Entry 1:
The following is a DFT calculation (PBE) of crystalline PrPu2As3 at its relaxed geometry.

Lattice parameters (Å, degrees): 8.3790 11.8558 25.1464 90.00 90.00 90.00
Space group Fddd (No. 70, origin choice 2)
Inequivalent atoms, fractional coordinates:
Pr  0.1250  0.1250  0.0419 (multiplicity 16)
Pu  0.1250  0.1250  0.3738 (multiplicity 16)
Pu  0.1250  0.1250  0.5407 (multiplicity 16)
As  0.1138  0.3750  0.8750 (multiplicity 16)
As  0.1192  0.3698  0.7064 (multiplicity 32)

Calculated values
- crystal system = orthorhombic
- size of the total moment (μB/atom) = 1.66
- ΔE to the lowest computed polymorph (meV/atom) = 0
- Fermi-level density of states (states/eV per atom) = 3.61
- ΔH_f (0 K) (eV per formula unit) = -7.03

Entry 2:
The following is a DFT calculation (PBE) of crystalline Cs2HfPa3O12 at its relaxed geometry.

Lattice parameters (Å, degrees): 8.1382 8.1382 19.1289 90.00 90.00 120.00
Space group R-3m (No. 166, hexagonal axes)
Inequivalent atoms, fractional coordinates:
Cs  0.0000  0.0000  0.1309 (multiplicity 6)
Hf  0.0000  0.0000  0.5000 (multiplicity 3)
Pa  0.0000  0.5000  0.0000 (multiplicity 9)
O  0.0825  0.5413  0.3583 (multiplicity 18)
O  0.0905  0.5453  0.1052 (multiplicity 18)

Calculated values
- crystal system = trigonal
- size of the total moment (μB/atom) = 0.16
- Fermi-level density of states (states/eV per atom) = 0.78
- ΔE_f (raw) (eV per atom) = -2.877

Entry 3:
The following is a DFT calculation (PBE) of crystalline MoSe2 at its relaxed geometry.

Lattice parameters (Å, degrees): 4.6978 4.6978 5.7142 90.00 90.00 120.00
Space group P6_3/mmc (No. 194)
Inequivalent atoms, fractional coordinates:
Mo  0.3333  0.6667  0.2500 (multiplicity 2)
Se  0.0000  0.0000  0.0000 (multiplicity 2)
Se  0.3333  0.6667  0.7500 (multiplicity 2)

Calculated values
- crystal system = hexagonal
- size of the total moment (μB/atom) = 0.56
- Fermi-level density of states (states/eV per atom) = 0.43
- ΔE_f (raw) (eV per atom) = 0.460

Entry 4:
The following is a DFT calculation (PBE) of crystalline LiErLuCo at its relaxed geometry.

Lattice parameters (Å, degrees): 6.7578 6.7578 6.7578 90.00 90.00 90.00
Space group F-43m (No. 216)
Inequivalent atoms, fractional coordinates:
Li  0.0000  0.0000  0.0000 (multiplicity 4)
Er  0.2500  0.2500  0.2500 (multiplicity 4)
Lu  0.2500  0.2500  0.7500 (multiplicity 4)
Co  0.0000  0.0000  0.5000 (multiplicity 4)

Calculated values
- crystal system = cubic
- size of the total moment (μB/atom) = 0.00
- Fermi-level density of states (states/eV per atom) = 0.72
- ΔH_f (0 K) (eV per formula unit) = -0.49

Entry 5:
The following is a DFT calculation (PBE) of crystalline CsSiHgSe4 at its relaxed geometry.

Lattice parameters (Å, degrees): 6.8515 6.6816 10.8604 90.00 105.18 90.00
Space group P2_1/m (No. 11)
Inequivalent atoms, fractional coordinates:
Cs  0.2189  0.2500  0.0327 (multiplicity 2)
Si  0.2290  0.7500  0.3000 (multiplicity 2)
Hg  0.2428  0.2500  0.6382 (multiplicity 2)
Se  0.0100  0.0138  0.2962 (multiplicity 4)
Se  0.3794  0.7500  0.1389 (multiplicity 2)
Se  0.4903  0.7500  0.4926 (multiplicity 2)

Calculated values
- crystal system = monoclinic
- size of the total moment (μB/atom) = 0.00
- Fermi-level density of states (states/eV per atom) = 0.15
- ΔE_f (raw) (eV per atom) = -0.506